1.
# VCoSbI2

A relaxed VCoSbI2 crystal (PBE, Alexandria).

Structure (CIF):
```
data_VCoSbI2
_chemical_formula_sum 'V1 Co1 Sb1 I2'
_symmetry_space_group_name_H-M 'P 1'
_symmetry_Int_Tables_number 1
_cell_length_a 5.286
_cell_length_b 5.286
_cell_length_c 4.816
_cell_angle_alpha 90.00
_cell_angle_beta 90.00
_cell_angle_gamma 90.00
loop_
_symmetry_equiv_pos_as_xyz
'x,y,z'
loop_
_atom_site_label
_atom_site_type_symbol
_atom_site_fract_x
_atom_site_fract_y
_atom_site_fract_z
V1 V 0.000 0.000 0.000
Co1 Co 0.500 0.500 0.500
Sb1 Sb 0.500 0.500 0.000
I1 I 0.000 0.500 0.500
I2 I 0.500 0.000 0.500
```

Properties
Calculated volume   135 Å³ per cell
Spin magnetization   0.027 μB/atom
Relative energy among the computed polymorphs   11.5 kJ per mole of atoms
Energy   -18.3 eV per formula unit

***

2.
# NbGeIr3

A relaxed NbGeIr3 crystal (PBE, Alexandria).

Structure (CIF):
```
data_NbGeIr3
_chemical_formula_sum 'Nb1 Ge1 Ir3'
_symmetry_space_group_name_H-M 'P 1'
_symmetry_Int_Tables_number 1
_cell_length_a 4.802
_cell_length_b 4.802
_cell_length_c 4.802
_cell_angle_alpha 90.00
_cell_angle_beta 90.00
_cell_angle_gamma 90.00
loop_
_symmetry_equiv_pos_as_xyz
'x,y,z'
loop_
_atom_site_label
_atom_site_type_symbol
_atom_site_fract_x
_atom_site_fract_y
_atom_site_fract_z
Nb1 Nb 0.000 0.000 0.000
Ge1 Ge 0.500 0.500 0.500
Ir1 Ir 0.000 0.000 0.500
Ir2 Ir 0.000 0.500 0.000
Ir3 Ir 0.500 0.000 0.000
```

Properties
Calculated volume   111 Å³ per cell
Spin magnetization   0.000 μB/atom
Relative energy among the computed polymorphs   46.0 kJ per mole of atoms
Energy   -33.8 eV per formula unit

***

3.
# LiCd2B2

A relaxed LiCd2B2 crystal (PBE, Alexandria).

Structure (CIF):
```
data_LiCd2B2
_chemical_formula_sum 'Li1 Cd2 B2'
_symmetry_space_group_name_H-M 'P 1'
_symmetry_Int_Tables_number 1
_cell_length_a 5.312
_cell_length_b 5.312
_cell_length_c 5.312
_cell_angle_alpha 134.15
_cell_angle_beta 134.15
_cell_angle_gamma 66.85
loop_
_symmetry_equiv_pos_as_xyz
'x,y,z'
loop_
_atom_site_label
_atom_site_type_symbol
_atom_site_fract_x
_atom_site_fract_y
_atom_site_fract_z
Li1 Li 0.000 0.000 0.000
Cd1 Cd 0.250 0.750 0.500
Cd2 Cd 0.750 0.250 0.500
B1 B 0.411 0.411 0.000
B2 B 0.589 0.589 0.000
```

Properties
Calculated volume   76 Å³ per cell
Spin magnetization   0.000 μB/atom
Relative energy among the computed polymorphs   0.0 kJ per mole of atoms
Energy   -14.8 eV per formula unit

***

4.
# AlF

A relaxed AlF crystal (PBE, Alexandria).

Structure (CIF):
```
data_AlF
_chemical_formula_sum 'Al6 F6'
_symmetry_space_group_name_H-M 'P 1'
_symmetry_Int_Tables_number 1
_cell_length_a 2.829
_cell_length_b 8.932
_cell_length_c 6.376
_cell_angle_alpha 90.00
_cell_angle_beta 90.00
_cell_angle_gamma 90.00
loop_
_symmetry_equiv_pos_as_xyz
'x,y,z'
loop_
_atom_site_label
_atom_site_type_symbol
_atom_site_fract_x
_atom_site_fract_y
_atom_site_fract_z
Al1 Al 0.250 0.070 0.164
Al2 Al 0.250 0.430 0.164
Al3 Al 0.250 0.750 0.542
Al4 Al 0.750 0.250 0.458
Al5 Al 0.750 0.570 0.836
Al6 Al 0.750 0.930 0.836
F1 F 0.250 0.250 0.009
F2 F 0.250 0.606 0.341
F3 F 0.250 0.894 0.341
F4 F 0.750 0.106 0.659
F5 F 0.750 0.394 0.659
F6 F 0.750 0.750 0.991
```

Properties
Calculated volume   161 Å³ per cell
Spin magnetization   0.000 μB/atom
Energy   -9.5 eV per formula unit

***

5.
# Ce6TeC3Cl2

A relaxed Ce6TeC3Cl2 crystal (PBE, Alexandria).

Structure (CIF):
```
data_Ce6TeC3Cl2
_chemical_formula_sum 'Ce6 Te1 C3 Cl2'
_symmetry_space_group_name_H-M 'P 1'
_symmetry_Int_Tables_number 1
_cell_length_a 9.208
_cell_length_b 9.208
_cell_length_c 8.374
_cell_angle_alpha 111.39
_cell_angle_beta 111.39
_cell_angle_gamma 23.65
loop_
_symmetry_equiv_pos_as_xyz
'x,y,z'
loop_
_atom_site_label
_atom_site_type_symbol
_atom_site_fract_x
_atom_site_fract_y
_atom_site_fract_z
Ce1 Ce 0.011 0.011 0.213
Ce2 Ce 0.318 0.318 0.445
Ce3 Ce 0.347 0.347 0.884
Ce4 Ce 0.653 0.653 0.116
Ce5 Ce 0.682 0.682 0.555
Ce6 Ce 0.989 0.989 0.787
Te1 Te 0.500 0.500 0.500
C1 C 0.166 0.166 0.330
C2 C 0.500 0.500 0.000
C3 C 0.834 0.834 0.670
Cl1 Cl 0.171 0.171 0.841
Cl2 Cl 0.829 0.829 0.159
```

Properties
Calculated volume   264 Å³ per cell
Spin magnetization   0.275 μB/atom
Energy   -80.8 eV per formula unit

***

6.
# Ni2Ir3Rh

A relaxed Ni2Ir3Rh crystal (PBE, Alexandria).

Structure (CIF):
```
data_Ni2Ir3Rh
_chemical_formula_sum 'Ni4 Ir6 Rh2'
_symmetry_space_group_name_H-M 'P 1'
_symmetry_Int_Tables_number 1
_cell_length_a 7.044
_cell_length_b 7.044
_cell_length_c 4.649
_cell_angle_alpha 90.39
_cell_angle_beta 90.39
_cell_angle_gamma 44.19
loop_
_symmetry_equiv_pos_as_xyz
'x,y,z'
loop_
_atom_site_label
_atom_site_type_symbol
_atom_site_fract_x
_atom_site_fract_y
_atom_site_fract_z
Ni1 Ni 0.045 0.292 0.085
Ni2 Ni 0.292 0.045 0.585
Ni3 Ni 0.708 0.955 0.415
Ni4 Ni 0.955 0.708 0.915
Ir1 Ir 0.208 0.454 0.418
Ir2 Ir 0.372 0.628 0.750
Ir3 Ir 0.454 0.208 0.918
Ir4 Ir 0.546 0.792 0.082
Ir5 Ir 0.628 0.372 0.250
Ir6 Ir 0.792 0.546 0.582
Rh1 Rh 0.125 0.875 0.250
Rh2 Rh 0.875 0.125 0.750
```

Properties
Calculated volume   161 Å³ per cell
Spin magnetization   0.000 μB/atom
Energy   -45.5 eV per formula unit

***

Repeat the first record exactly.
# VCoSbI2

A relaxed VCoSbI2 crystal (PBE, Alexandria).

Structure (CIF):
```
data_VCoSbI2
_chemical_formula_sum 'V1 Co1 Sb1 I2'
_symmetry_space_group_name_H-M 'P 1'
_symmetry_Int_Tables_number 1
_cell_length_a 5.286
_cell_length_b 5.286
_cell_length_c 4.816
_cell_angle_alpha 90.00
_cell_angle_beta 90.00
_cell_angle_gamma 90.00
loop_
_symmetry_equiv_pos_as_xyz
'x,y,z'
loop_
_atom_site_label
_atom_site_type_symbol
_atom_site_fract_x
_atom_site_fract_y
_atom_site_fract_z
V1 V 0.000 0.000 0.000
Co1 Co 0.500 0.500 0.500
Sb1 Sb 0.500 0.500 0.000
I1 I 0.000 0.500 0.500
I2 I 0.500 0.000 0.500
```

Properties
Calculated volume   135 Å³ per cell
Spin magnetization   0.027 μB/atom
Relative energy among the computed polymorphs   11.5 kJ per mole of atoms
Energy   -18.3 eV per formula unit